1.
SCAN Li2Si2Sb, single point on PBEsol structure; E_tot = -12.406 eV per atom; magnetization = 0.00 μB/cell
1.0
2.875 0.000 0.000
0.000 7.713 0.000
0.000 0.000 7.713
Si Li Sb
4 4 2
direct
0.000 0.607 0.107
0.000 0.107 0.393
0.000 0.893 0.607
0.000 0.393 0.893
0.500 0.809 0.309
0.500 0.691 0.809
0.500 0.191 0.691
0.500 0.309 0.191
0.000 0.000 0.000
0.000 0.500 0.500


2.
SCAN LiSiSb, single point on PBEsol structure; E_tot = -16.421 eV per atom; magnetization = 0.00 μB/cell
1.0
2.877 0.000 0.000
0.000 4.877 0.000
0.000 -2.438 4.223
Sb Si Li
1 1 1
direct
0.499 0.333 0.667
0.500 0.667 0.333
0.001 0.000 0.000


Table of ΔE_f (raw) (meV per atom), in record order: 9 134